Here is La7P2N2 after structural relaxation from the Alexandria database. Energies are from PBE-GGA.

It has space group C2/m (No. 12), with a = 7.771 Å, b = 12.485 Å, c = 7.172 Å, α = 90.00°, β = 95.90° and γ = 90.00°. The distinct sites, in fractional coordinates, are La at (0.000, 0.000, 0.000), La at (0.101, 0.500, 0.787), La at (0.210, 0.168, 0.727), P at (0.000, 0.330, 0.500) and N at (0.195, 0.500, 0.128).

The uncorrected formation energy comes out at -0.876 eV per atom. The calculated total energy comes out at -6.5085 eV/atom.